DFT (GGA-PBEsol) results for a geometry-optimized Tc2AgRu structure.

Results
The crystal system is orthorhombic. The calculated total energy is -8.475 eV/atom. As for the density of states at the Fermi level: 0.802 states/eV/atom. The formation energy from the elements is 529 meV/atom. The energy above the lowest structure with this stoichiometry is 219.5 meV per atom.

Cell: 2.7850 4.5872 9.2850 Å, 90.00 90.00 90.00°
Space group Imm2 (No. 44)
Symmetry-distinct sites (fractional):
Tc (0.0000, 0.0000, 0.0000) x2
Tc (0.0000, 0.5000, 0.2749) x2
Ag (0.0000, 0.5000, 0.7798) x2
Ru (0.0000, 0.0000, 0.5515) x2

***

DFT (GGA-PBEsol) results for a geometry-optimized As3RuW structure.

Results
The crystal system is cubic. The calculated total energy is -6.592 eV/atom. As for the density of states at the Fermi level: 1.116 states/eV/atom. The formation energy from the elements is 1267 meV/atom.

Cell: 4.7682 4.7682 4.7682 Å, 90.00 90.00 90.00°
Space group Pm-3m (No. 221)
Symmetry-distinct sites (fractional):
As (0.0000, 0.0000, 0.5000) x3
Ru (0.5000, 0.5000, 0.5000) x1
W (0.0000, 0.0000, 0.0000) x1

***

DFT (GGA-PBEsol) results for a geometry-optimized ZnSi2IrO structure.

Results
The crystal system is tetragonal. The calculated total energy is -4.859 eV/atom. As for the density of states at the Fermi level: 0.706 states/eV/atom.

Cell: 4.7312 4.7312 3.3648 Å, 90.00 90.00 90.00°
Space group P4/mmm (No. 123)
Symmetry-distinct sites (fractional):
Zn (0.0000, 0.0000, 0.0000) x1
Si (0.0000, 0.5000, 0.0000) x2
Ir (0.5000, 0.5000, 0.5000) x1
O (0.0000, 0.0000, 0.5000) x1